Material: Zr3HgN
Method: DFT, PBE-GGA
State: relaxed

a b c (Å): 4.9238 12.3129 6.7827
angles (deg): 90.00 90.00 90.00
Last column: nearest neighbours and their distance in Å.
Fractional coordinates of all 20 atoms:
1 Zr 0.0000 0.3794 0.1130  1 N 2.12
2 Zr 0.9999 0.7500 0.4061  1 N 2.12
3 Zr 0.5000 0.3794 0.3870  1 N 2.12
4 Zr 0.0001 0.2500 0.5939  1 N 2.12
5 Zr 0.0000 0.6206 0.8870  1 N 2.12
6 Zr 0.0000 0.1206 0.1130  1 N 2.12
7 Zr 0.5000 0.1206 0.3870  1 N 2.12
8 Zr 0.5001 0.2500 0.9061  1 N 2.12
9 Zr 0.4999 0.7500 0.0939  1 N 2.12
10 Zr 0.5000 0.6206 0.6130  1 N 2.12
11 Zr 0.0000 0.8794 0.8870  1 N 2.12
12 Zr 0.5000 0.8794 0.6130  1 N 2.12
13 Hg 0.5000 0.0000 0.0000  8 Zr 2.98-3.14
14 Hg 0.0000 0.5000 0.5000  8 Zr 2.98-3.14
15 Hg 0.5000 0.5000 0.0000  8 Zr 2.98-3.14
16 Hg 0.0000 0.0000 0.5000  8 Zr 2.98-3.14
17 N 0.9999 0.7500 0.0940  3 Zr 2.12
18 N 0.5001 0.2500 0.5940  3 Zr 2.12
19 N 0.0001 0.2500 0.9060  3 Zr 2.12
20 N 0.4999 0.7500 0.4060  3 Zr 2.12

Output
Space group: No. 74
Energy relative to the elements, uncorrected, eV per atom: -0.519